Crystalline Ba3InSb2O9 at its relaxed geometry, computed with PBE.

```
15
Lattice="5.981 0.000 0.000 -2.991 5.180 0.000 0.000 0.000 7.326" Properties=species:S:1:pos:R:3 pbc="T T T"
Ba 0.000 0.000 0.000
Ba 0.000 3.453 4.870
Ba 2.991 1.727 2.456
In 0.000 0.000 3.663
Sb 0.000 3.453 1.239
Sb 2.991 1.727 6.087
O -1.495 2.590 0.000
O 0.000 1.779 2.383
O -1.449 4.290 2.383
O 1.541 0.890 4.943
O 2.991 0.000 0.000
O 1.495 2.590 0.000
O 1.450 4.290 2.383
O 4.440 0.890 4.943
O 2.991 3.400 4.943
```

Its mass density is 6.69 g cm⁻³. The calculation puts the energy relative to the elements, uncorrected at -2084 meV per atom. For the density of states at the Fermi level, the calculation gives 1.350 states/eV per cell. The calculation puts the volume at 15.1 A^3/atom. The calculation puts the total magnetization at 0.00 μB per formula unit.